Entry 1:
# Sm3Ho6TmTh2

Crystalline Sm3Ho6TmTh2 at its relaxed geometry (PBE, Alexandria).

The total magnetic moment is 0.00 μB/cell. As for the formation energy: 18 meV/atom. The density of states at the Fermi level is 15.6 states/eV/f.u.

It has space group C2/m (No. 12), with a = 6.166 Å, b = 10.674 Å, c = 11.750 Å, α = 90.00°, β = 100.09° and γ = 90.00°. Symmetry generates all atoms from Sm at (0.000, 0.000, 0.000), Sm at (0.000, 0.334, 0.000), Ho at (0.245, 0.000, 0.746), Ho at (0.250, 0.168, 0.254), Tm at (0.000, 0.500, 0.500) and Th at (0.000, 0.167, 0.500).

Entry 2:
# CuHgOs2

Crystalline CuHgOs2 at its relaxed geometry (PBE, Alexandria).

The total magnetic moment is 0.00 μB/cell. As for the formation energy: 896 meV/atom. The density of states at the Fermi level is 5.0 states/eV/f.u.

It has space group P4/mmm (No. 123), with a = 3.760 Å, b = 3.760 Å, c = 4.414 Å, α = 90.00°, β = 90.00° and γ = 90.00°. Symmetry generates all atoms from Cu at (0.000, 0.000, 0.000), Hg at (0.500, 0.500, 0.000) and Os at (0.000, 0.500, 0.500).

Entry 3:
# Y2NiRu2

Crystalline Y2NiRu2 at its relaxed geometry (PBE, Alexandria).

The total magnetic moment is 0.00 μB/cell. As for the formation energy: -181 meV/atom. The density of states at the Fermi level is 4.6 states/eV/f.u.

It has space group P4/mbm (No. 127), with a = 6.693 Å, b = 6.693 Å, c = 4.302 Å, α = 90.00°, β = 90.00° and γ = 90.00°. Symmetry generates all atoms from Y at (0.180, 0.320, 0.000), Ni at (0.000, 0.000, 0.500) and Ru at (0.132, 0.632, 0.500).

Which formula does entry 2 have? CuHgOs2